one:
Density functional theory data (PBE) for an optimized crystal structure of Y3NiRh.

Calculated values
ρ = 6.09 g/cm³
V = 233.57 Å³/cell

a = 3.9709 Å, b = 7.4703 Å, c = 8.3240 Å
α = 108.93°, β = 90.00°, γ = 90.00°
With the nearest neighbours (Å) after each atom.
Positions (direct):
Y: 0.2500 0.6940 0.0683  3 Rh 2.89-2.96, 1 Ni 2.90
Y: 0.7500 0.0966 0.2419  3 Ni 2.91-2.94, 2 Rh 2.95
Y: 0.2500 0.3606 0.6025  2 Rh 2.94, 3 Ni 2.98-3.00
Y: 0.2500 0.9034 0.7581  3 Ni 2.91-2.94, 2 Rh 2.95
Y: 0.7500 0.3060 0.9317  3 Rh 2.89-2.96, 1 Ni 2.90
Y: 0.7500 0.6394 0.3975  2 Rh 2.94, 3 Ni 2.98-3.00
Rh: 0.2500 0.3679 0.1973  7 Y 2.89-2.96
Rh: 0.7500 0.6321 0.8027  7 Y 2.89-2.96
Ni: 0.7500 0.0569 0.5825  2 Ni 2.41
Ni: 0.2500 0.9431 0.4175  2 Ni 2.41


two:
Density functional theory data (PBE) for an optimized crystal structure of Y3NiRh.

Calculated values
ρ = 5.41 g/cm³
V = 131.45 Å³/cell

a = 5.0846 Å, b = 5.0846 Å, c = 5.0846 Å
α = 90.00°, β = 90.00°, γ = 90.00°
With the nearest neighbours (Å) after each atom.
Positions (direct):
Y: 0.0000 0.5000 0.0000  2 Ni 2.54
Y: 0.5000 0.0000 0.0000  2 Ni 2.54
Y: 0.0000 0.0000 0.5000  2 Ni 2.54
Ni: 0.0000 0.0000 0.0000  6 Y 2.54
Rh: 0.5000 0.5000 0.5000  12 Y 3.60


Stability, lowest: two


one:
Density functional theory data (PBE) for an optimized crystal structure of Zn2Ni2Rh.

Calculated values
ρ = 9.03 g/cm³
V = 129.14 Å³/cell

a = 6.8865 Å, b = 6.8865 Å, c = 2.7231 Å
α = 90.00°, β = 90.00°, γ = 90.00°
With the nearest neighbours (Å) after each atom.
Positions (direct):
Ni: 0.8773 0.6227 0.0000  1 Ni 2.39, 6 Zn 2.40-2.49
Ni: 0.6227 0.1227 0.0000  1 Ni 2.39, 6 Zn 2.40-2.49
Ni: 0.1227 0.3773 0.0000  1 Ni 2.39, 6 Zn 2.40-2.49
Ni: 0.3773 0.8773 0.0000  1 Ni 2.39, 6 Zn 2.40-2.49
Zn: 0.8254 0.3254 0.5000  6 Ni 2.40-2.49
Zn: 0.6746 0.8254 0.5000  6 Ni 2.40-2.49
Zn: 0.1746 0.6746 0.5000  6 Ni 2.40-2.49
Zn: 0.3254 0.1746 0.5000  6 Ni 2.40-2.49
Rh: 0.5000 0.5000 0.0000  2 Rh 2.72, 4 Ni 2.73, 8 Zn 2.88
Rh: 0.0000 0.0000 0.0000  2 Rh 2.72, 4 Ni 2.73, 8 Zn 2.88


two:
Density functional theory data (PBE) for an optimized crystal structure of Zn2Ni2Rh.

Calculated values
ρ = 9.10 g/cm³
V = 128.08 Å³/cell

a = 6.8782 Å, b = 6.8782 Å, c = 2.7074 Å
α = 90.00°, β = 90.00°, γ = 90.00°
With the nearest neighbours (Å) after each atom.
Positions (direct):
Rh: 0.0000 0.0000 0.0000  4 Zn 2.69, 2 Rh 2.71, 8 Ni 2.90
Rh: 0.5000 0.5000 0.0000  4 Zn 2.69, 2 Rh 2.71, 8 Ni 2.90
Ni: 0.6671 0.8329 0.5000  6 Zn 2.38-2.47
Ni: 0.3329 0.1671 0.5000  6 Zn 2.38-2.47
Ni: 0.8329 0.3329 0.5000  6 Zn 2.38-2.47
Ni: 0.1671 0.6671 0.5000  6 Zn 2.38-2.47
Zn: 0.3681 0.8681 0.0000  6 Ni 2.38-2.47, 1 Zn 2.57
Zn: 0.8681 0.6319 0.0000  6 Ni 2.38-2.47, 1 Zn 2.57
Zn: 0.6319 0.1319 0.0000  6 Ni 2.38-2.47, 1 Zn 2.57
Zn: 0.1319 0.3681 0.0000  6 Ni 2.38-2.47, 1 Zn 2.57


three:
Density functional theory data (PBE) for an optimized crystal structure of Zn2Ni2Rh.

Calculated values
ρ = 9.19 g/cm³
V = 63.43 Å³/cell

a = 4.5571 Å, b = 4.5571 Å, c = 5.8480 Å
α = 49.21°, β = 49.21°, γ = 48.46°
With the nearest neighbours (Å) after each atom.
Positions (direct):
Zn: 0.7006 0.2006 0.3910  6 Ni 2.56-2.66, 3 Zn 2.58-2.70, 3 Rh 2.60-2.64
Zn: 0.2994 0.7994 0.6090  6 Ni 2.56-2.66, 3 Zn 2.58-2.70, 3 Rh 2.60-2.64
Ni: 0.8972 0.3972 0.7993  6 Zn 2.56-2.66, 3 Ni 2.57-2.60, 3 Rh 2.59-2.65
Ni: 0.1028 0.6028 0.2007  6 Zn 2.56-2.66, 3 Ni 2.57-2.60, 3 Rh 2.59-2.65
Rh: 0.5000 0.0000 0.0000  6 Ni 2.59-2.65, 6 Zn 2.60-2.64


Stability, lowest: one


one:
Density functional theory data (PBE) for an optimized crystal structure of ZnNi3Rh.

Calculated values
ρ = 9.41 g/cm³
V = 121.58 Å³/cell

a = 4.2297 Å, b = 6.8165 Å, c = 4.4731 Å
α = 70.52°, β = 90.00°, γ = 90.00°
With the nearest neighbours (Å) after each atom.
Positions (direct):
Ni: 0.7500 0.4051 0.9561  3 Zn 2.51-2.58, 7 Ni 2.53-2.62, 2 Rh 2.56-2.61
Ni: 0.2500 0.0024 0.8362  4 Zn 2.55-2.63, 4 Ni 2.57-2.62, 4 Rh 2.58-2.63
Ni: 0.2500 0.5949 0.0439  3 Zn 2.51-2.58, 7 Ni 2.53-2.62, 2 Rh 2.56-2.61
Ni: 0.7500 0.9976 0.1638  4 Zn 2.55-2.63, 4 Ni 2.57-2.62, 4 Rh 2.58-2.63
Ni: 0.2500 0.4019 0.6358  2 Zn 2.52-2.62, 3 Rh 2.53-2.58, 7 Ni 2.53-2.58
Ni: 0.7500 0.5981 0.3642  2 Zn 2.52-2.62, 3 Rh 2.53-2.58, 7 Ni 2.53-2.58
Rh: 0.7500 0.2047 0.5646  9 Ni 2.53-2.63, 3 Zn 2.61-2.63
Rh: 0.2500 0.7953 0.4354  9 Ni 2.53-2.63, 3 Zn 2.61-2.63
Zn: 0.2500 0.2050 0.2227  9 Ni 2.51-2.63, 3 Rh 2.61-2.63
Zn: 0.7500 0.7950 0.7773  9 Ni 2.51-2.63, 3 Rh 2.61-2.63


two:
Density functional theory data (PBE) for an optimized crystal structure of ZnNi3Rh.

Calculated values
ρ = 9.20 g/cm³
V = 248.64 Å³/cell

a = 6.7623 Å, b = 6.8254 Å, c = 5.3870 Å
α = 90.00°, β = 90.00°, γ = 90.00°
With the nearest neighbours (Å) after each atom.
Positions (direct):
Rh: 0.5000 0.0000 0.0000  8 Ni 2.69-2.99, 2 Rh 2.69, 4 Zn 2.80-2.89
Rh: 0.0000 0.5000 0.0000  8 Ni 2.69-2.99, 2 Rh 2.69, 4 Zn 2.80-2.89
Rh: 0.5000 0.0000 0.5000  8 Ni 2.69-2.99, 2 Rh 2.69, 4 Zn 2.80-2.89
Rh: 0.0000 0.5000 0.5000  8 Ni 2.69-2.99, 2 Rh 2.69, 4 Zn 2.80-2.89
Zn: 0.3288 0.6836 0.7500  6 Ni 2.39-2.48
Zn: 0.8288 0.8164 0.7500  6 Ni 2.39-2.48
Zn: 0.6712 0.3164 0.2500  6 Ni 2.39-2.48
Zn: 0.1712 0.1836 0.2500  6 Ni 2.39-2.48
Ni: 0.1840 0.1532 0.7500  6 Ni 2.36-2.43
Ni: 0.8160 0.8468 0.2500  6 Ni 2.36-2.43
Ni: 0.6840 0.3468 0.7500  6 Ni 2.36-2.43
Ni: 0.1222 0.8745 0.0172  5 Ni 2.36-2.51, 3 Zn 2.39-2.48
Ni: 0.6222 0.6255 0.0172  5 Ni 2.36-2.51, 3 Zn 2.39-2.48
Ni: 0.6222 0.6255 0.4828  5 Ni 2.36-2.51, 3 Zn 2.39-2.48
Ni: 0.3778 0.3745 0.5172  5 Ni 2.36-2.51, 3 Zn 2.39-2.48
Ni: 0.3160 0.6532 0.2500  6 Ni 2.36-2.43
Ni: 0.8778 0.1255 0.5172  5 Ni 2.36-2.51, 3 Zn 2.39-2.48
Ni: 0.8778 0.1255 0.9828  5 Ni 2.36-2.51, 3 Zn 2.39-2.48
Ni: 0.3778 0.3745 0.9828  5 Ni 2.36-2.51, 3 Zn 2.39-2.48
Ni: 0.1222 0.8745 0.4828  5 Ni 2.36-2.51, 3 Zn 2.39-2.48


three:
Density functional theory data (PBE) for an optimized crystal structure of ZnNi3Rh.

Calculated values
ρ = 6.19 g/cm³
V = 92.43 Å³/cell

a = 4.5214 Å, b = 4.5214 Å, c = 4.5214 Å
α = 90.00°, β = 90.00°, γ = 90.00°
With the nearest neighbours (Å) after each atom.
Positions (direct):
Ni: 0.5000 0.0000 0.0000  2 Rh 2.26
Ni: 0.0000 0.5000 0.0000  2 Rh 2.26
Ni: 0.0000 0.0000 0.5000  2 Rh 2.26
Zn: 0.5000 0.5000 0.5000  12 Ni 3.20
Rh: 0.0000 0.0000 0.0000  6 Ni 2.26


four:
Density functional theory data (PBE) for an optimized crystal structure of ZnNi3Rh.

Calculated values
ρ = 7.44 g/cm³
V = 76.89 Å³/cell

a = 4.2523 Å, b = 4.2523 Å, c = 4.2523 Å
α = 90.00°, β = 90.00°, γ = 90.00°
With the nearest neighbours (Å) after each atom.
Positions (direct):
Ni: 0.0000 0.5000 0.0000  2 Zn 2.13
Ni: 0.0000 0.0000 0.5000  2 Zn 2.13
Ni: 0.5000 0.0000 0.0000  2 Zn 2.13
Rh: 0.5000 0.5000 0.5000  12 Ni 3.01
Zn: 0.0000 0.0000 0.0000  6 Ni 2.13


Stability, lowest: three